The following is a GGA-PBE calculation of a relaxed Mn5Fe3 crystal, from the Alexandria database.

Its calculated total energy is -8.796 eV/atom. The value obtained for the energy of formation is 0.11 eV per atom. The energy above the most stable polymorph in this dataset is 77 meV per atom.

CIF file:
```
data_Mn5Fe3
_chemical_formula_sum 'Mn5 Fe3'
_space_group_name_H-M_alt 'P m m m'
_space_group_IT_number 47
_cell_length_a 2.884
_cell_length_b 3.956
_cell_length_c 7.905
_cell_angle_alpha 90.00
_cell_angle_beta 90.00
_cell_angle_gamma 90.00
loop_
_space_group_symop_operation_xyz
'x,y,z'
'-x,-y,-z'
'-x,-y,z'
'x,y,-z'
'x,-y,-z'
'-x,y,z'
'-x,y,-z'
'x,-y,z'
loop_
_atom_site_label
_atom_site_fract_x
_atom_site_fract_y
_atom_site_fract_z
Mn1 0.000 0.000 0.000
Mn2 0.000 0.000 0.500
Mn3 0.000 0.500 0.249
Mn4 0.500 0.500 0.500
Fe1 0.500 0.000 0.251
Fe2 0.500 0.500 0.000
```

---

The following is a GGA-PBE calculation of a relaxed PuTiN2 crystal, from the Alexandria database.

Its calculated total energy is -11.125 eV/atom. As for the uncorrected formation energy: -1.4054 eV/atom.

CIF file:
```
data_PuTiN2
_chemical_formula_sum 'Pu2 Ti2 N4'
_space_group_name_H-M_alt 'P 63/m m c'
_space_group_IT_number 194
_space_group_name_Hall '-P 6c 2c'
_cell_length_a 3.1673
_cell_length_b 3.1673
_cell_length_c 10.9618
_cell_angle_alpha 90.00
_cell_angle_beta 90.00
_cell_angle_gamma 120.00
loop_
_atom_site_label
_atom_site_fract_x
_atom_site_fract_y
_atom_site_fract_z
Pu1 0.3333 0.6667 0.2500
Ti1 0.0000 0.0000 0.0000
N1 0.3333 0.6667 0.6066
```

---

The following is a GGA-PBE calculation of a relaxed PmPrDyHg crystal, from the Alexandria database.

Its calculated total energy is -3.843 eV/atom. The value obtained for the energy of formation is -0.23 eV per atom. The energy above the most stable polymorph in this dataset is 0 meV per atom.

CIF file:
```
data_PmPrDyHg
_chemical_formula_sum 'Pm1 Pr1 Dy1 Hg1'
_space_group_name_H-M_alt 'P 4 m m'
_space_group_IT_number 99
_cell_length_a 3.707
_cell_length_b 3.707
_cell_length_c 8.926
_cell_angle_alpha 90.00
_cell_angle_beta 90.00
_cell_angle_gamma 90.00
loop_
_space_group_symop_operation_xyz
'x,y,z'
'-y,x,z'
'-x,-y,z'
'y,-x,z'
'-x,y,z'
'y,x,z'
'x,-y,z'
'-y,-x,z'
loop_
_atom_site_label
_atom_site_fract_x
_atom_site_fract_y
_atom_site_fract_z
Pm1 0.000 0.000 0.000
Pr1 0.500 0.500 0.287
Dy1 0.000 0.000 0.567
Hg1 0.500 0.500 0.771
```

---

The following is a GGA-PBE calculation of a relaxed PAuSN2 crystal, from the Alexandria database.

Its calculated total energy is -5.066 eV/atom. As for the uncorrected formation energy: 0.8274 eV/atom. The energy above the most stable polymorph in this dataset is 0 meV per atom.

CIF file:
```
data_PAuSN2
_chemical_formula_sum 'P1 Au1 S1 N2'
_space_group_name_H-M_alt 'P 4/m m m'
_space_group_IT_number 123
_space_group_name_Hall '-P 4 2'
_cell_length_a 3.389
_cell_length_b 3.389
_cell_length_c 6.270
_cell_angle_alpha 90.00
_cell_angle_beta 90.00
_cell_angle_gamma 90.00
loop_
_atom_site_label
_atom_site_fract_x
_atom_site_fract_y
_atom_site_fract_z
P1 0.000 0.000 0.000
Au1 0.500 0.500 0.500
S1 0.000 0.000 0.500
N1 0.000 0.500 0.000
```

---

The following is a GGA-PBE calculation of a relaxed LiTa2MnMo crystal, from the Alexandria database.

Its calculated total energy is -7.704 eV/atom. The value obtained for the energy of formation is 1.42 eV per atom.

CIF file:
```
data_LiTa2MnMo
_chemical_formula_sum 'Li1 Ta2 Mn1 Mo1'
_space_group_name_H-M_alt 'P 4/m m m'
_space_group_IT_number 123
_space_group_name_Hall '-P 4 2'
_cell_length_a 4.880
_cell_length_b 4.880
_cell_length_c 4.428
_cell_angle_alpha 90.00
_cell_angle_beta 90.00
_cell_angle_gamma 90.00
loop_
_atom_site_label
_atom_site_fract_x
_atom_site_fract_y
_atom_site_fract_z
Li1 0.000 0.000 0.000
Ta1 0.000 0.500 0.500
Mn1 0.500 0.500 0.000
Mo1 0.500 0.500 0.500
```

---

The following is a GGA-PBE calculation of a relaxed Si2RhBr crystal, from the Alexandria database.

Its calculated total energy is -4.432 eV/atom. As for the uncorrected formation energy: 0.5358 eV/atom. The energy above the most stable polymorph in this dataset is 576 meV per atom.

CIF file:
```
data_Si2RhBr
_chemical_formula_sum 'Si2 Rh1 Br1'
_space_group_name_H-M_alt 'P 1 2/m 1'
_space_group_IT_number 10
_cell_length_a 4.510
_cell_length_b 2.994
_cell_length_c 4.889
_cell_angle_alpha 90.00
_cell_angle_beta 90.42
_cell_angle_gamma 90.00
loop_
_space_group_symop_operation_xyz
'x,y,z'
'-x,-y,-z'
'-x,y,-z'
'x,-y,z'
loop_
_atom_site_label
_atom_site_fract_x
_atom_site_fract_y
_atom_site_fract_z
Si1 0.000 0.000 0.000
Si2 0.500 0.500 0.000
Rh1 0.000 0.500 0.500
Br1 0.500 0.000 0.500
```

---

The following is a GGA-PBE calculation of a relaxed Ac4Te2RuPt crystal, from the Alexandria database.

Its calculated total energy is -5.800 eV/atom. As for the uncorrected formation energy: -1.0457 eV/atom.

CIF file:
```
data_Ac4Te2RuPt
_chemical_formula_sum 'Ac4 Te2 Ru1 Pt1'
_space_group_name_H-M_alt 'P 1 2/m 1'
_space_group_IT_number 10
_cell_length_a 7.705
_cell_length_b 4.452
_cell_length_c 8.343
_cell_angle_alpha 90.00
_cell_angle_beta 107.80
_cell_angle_gamma 90.00
loop_
_space_group_symop_operation_xyz
'x,y,z'
'-x,-y,-z'
'-x,y,-z'
'x,-y,z'
loop_
_atom_site_label
_atom_site_fract_x
_atom_site_fract_y
_atom_site_fract_z
Ac1 0.228 0.000 0.211
Ac2 0.252 0.500 0.789
Te1 0.000 0.000 0.500
Te2 0.500 0.500 0.500
Ru1 0.000 0.500 0.000
Pt1 0.500 0.000 0.000
```

---

The following is a GGA-PBE calculation of a relaxed LiErGe2Pt4 crystal, from the Alexandria database.

Its calculated total energy is -5.735 eV/atom. The value obtained for the energy of formation is -0.75 eV per atom.

CIF file:
```
data_LiErGe2Pt4
_chemical_formula_sum 'Li3 Er3 Ge6 Pt12'
_space_group_name_H-M_alt 'R -3 m'
_space_group_IT_number 166
_space_group_name_Hall '-R 3 2"'
_cell_length_a 4.2649
_cell_length_b 4.2649
_cell_length_c 25.2601
_cell_angle_alpha 90.00
_cell_angle_beta 90.00
_cell_angle_gamma 120.00
loop_
_atom_site_label
_atom_site_fract_x
_atom_site_fract_y
_atom_site_fract_z
Li1 0.0000 0.0000 0.0000
Er1 0.0000 0.0000 0.5000
Ge1 0.0000 0.0000 0.2582
Pt1 0.0000 0.0000 0.0980
Pt2 0.0000 0.0000 0.3649
```

---

The following is a GGA-PBE calculation of a relaxed ErMgZr crystal, from the Alexandria database.

Its calculated total energy is -4.895 eV/atom. The value obtained for the energy of formation is 0.01 eV per atom. The energy above the most stable polymorph in this dataset is 16 meV per atom.

CIF file:
```
data_ErMgZr
_chemical_formula_sum 'Er2 Mg2 Zr2'
_space_group_name_H-M_alt 'P 4/n m m'
_space_group_IT_number 129
_cell_length_a 3.830
_cell_length_b 3.830
_cell_length_c 10.524
_cell_angle_alpha 90.00
_cell_angle_beta 90.00
_cell_angle_gamma 90.00
loop_
_space_group_symop_operation_xyz
'x,y,z'
'-x,-y,-z'
'-y+1/2,x,z'
'y+1/2,-x,-z'
'-x+1/2,-y+1/2,z'
'x+1/2,y+1/2,-z'
'y,-x+1/2,z'
'-y,x+1/2,-z'
'x+1/2,-y,-z'
'-x+1/2,y,z'
'-y,-x,-z'
'y,x,z'
'-x,y+1/2,-z'
'x,-y+1/2,z'
'y+1/2,x+1/2,-z'
'-y+1/2,-x+1/2,z'
loop_
_atom_site_label
_atom_site_fract_x
_atom_site_fract_y
_atom_site_fract_z
Er1 0.250 0.250 0.242
Mg1 0.250 0.250 0.577
Zr1 0.250 0.250 0.937
```